No. 1
Entry from the Alexandria database: an optimized crystal structure of Y2MnMo (GGA-PBE).

Values from the calculation:
Symmetry   C2/m
E above lowest polymorph   0.4339 eV/atom
Energy relative to the elements   0.60 eV per atom

Lattice parameters (Å, degrees): 5.0962 5.0962 5.8693 99.05 99.05 36.09
Last column: nearest neighbours and their distance in Å.
Sites, in units of the cell vectors:
Y  0.2486  0.2486  0.2479  3 Mn 3.03-3.07, 3 Mo 3.04, 6 Y 3.16-3.35
Y  0.7514  0.7514  0.7521  3 Mn 3.03-3.07, 3 Mo 3.04, 6 Y 3.16-3.35
Mn  0.0000  0.0000  0.5000  6 Y 3.03-3.07, 2 Mn 3.16, 4 Mo 3.33
Mo  0.5000  0.5000  0.0000  6 Y 3.04, 2 Mo 3.16, 4 Mn 3.33

***

No. 2
Entry from the Alexandria database: an optimized crystal structure of CaMg4Tl8 (GGA-PBE).

Values from the calculation:
Symmetry   R-3m
E above lowest polymorph   0.0620 eV/atom
Energy relative to the elements   0.01 eV per atom

Lattice parameters (Å, degrees): 10.3490 10.3490 10.3490 38.38 38.38 38.38
Last column: nearest neighbours and their distance in Å.
Sites, in units of the cell vectors:
Ca  0.0000  0.0000  0.0000  6 Tl 3.21, 6 Mg 3.40
Mg  0.0000  0.5000  0.5000  4 Tl 3.23, 4 Mg 3.40, 2 Ca 3.40
Mg  0.5000  0.0000  0.5000  4 Tl 3.23, 4 Mg 3.40, 2 Ca 3.40
Mg  0.5000  0.5000  0.0000  4 Tl 3.23, 2 Ca 3.40, 4 Mg 3.40
Mg  0.5000  0.5000  0.5000  6 Tl 2.98
Tl  0.1950  0.1950  0.1950  9 Tl 3.61-3.68, 3 Mg 4.01
Tl  0.2405  0.7460  0.7460  3 Mg 2.98-3.23, 1 Ca 3.21
Tl  0.2540  0.2540  0.7595  3 Mg 2.98-3.23, 1 Ca 3.21
Tl  0.2540  0.7595  0.2540  3 Mg 2.98-3.23, 1 Ca 3.21
Tl  0.7460  0.2404  0.7460  3 Mg 2.98-3.23, 1 Ca 3.21
Tl  0.7460  0.7460  0.2405  3 Mg 2.98-3.23, 1 Ca 3.21
Tl  0.7595  0.2540  0.2540  3 Mg 2.98-3.23, 1 Ca 3.21
Tl  0.8050  0.8050  0.8050  9 Tl 3.61-3.68, 3 Mg 4.01

***

No. 3
Entry from the Alexandria database: an optimized crystal structure of BeNiSbTe2 (GGA-PBE).

Values from the calculation:
Uncorrected formation energy   17.3 kcal/mol of atoms
Symmetry   P4/mmm
E above lowest polymorph   0.0000 eV/atom

Lattice parameters (Å, degrees): 5.1781 5.1781 4.7531 90.00 90.00 90.00
Last column: nearest neighbours and their distance in Å.
Sites, in units of the cell vectors:
Be  0.0000  0.0000  0.0000  8 Te 3.51, 4 Sb 3.66
Ni  0.5000  0.5000  0.5000  2 Sb 2.38, 4 Te 2.59
Sb  0.5000  0.5000  0.0000  2 Ni 2.38
Te  0.0000  0.5000  0.5000  2 Ni 2.59
Te  0.5000  0.0000  0.5000  2 Ni 2.59

***

No. 4
Entry from the Alexandria database: an optimized crystal structure of Ac3NdDy2 (GGA-PBE).

Values from the calculation:
Symmetry   C2/c
Energy relative to the elements   0.07 eV per atom

Lattice parameters (Å, degrees): 6.5964 6.5964 12.5768 110.60 110.60 69.95
Last column: nearest neighbours and their distance in Å.
Sites, in units of the cell vectors:
Ac  0.1246  0.8754  0.7500  6 Dy 3.77-3.81, 2 Nd 3.78, 4 Ac 3.80
Ac  0.2080  0.4582  0.9161  5 Dy 3.78-3.80, 3 Nd 3.79-3.80, 4 Ac 3.80-3.81
Ac  0.4582  0.2080  0.4161  5 Dy 3.78-3.80, 3 Nd 3.79-3.80, 4 Ac 3.80-3.81
Ac  0.5418  0.7920  0.5839  5 Dy 3.78-3.80, 3 Nd 3.79-3.80, 4 Ac 3.80-3.81
Ac  0.7920  0.5418  0.0839  5 Dy 3.78-3.80, 3 Nd 3.79-3.80, 4 Ac 3.80-3.81
Ac  0.8754  0.1246  0.2500  6 Dy 3.77-3.81, 2 Nd 3.78, 4 Ac 3.80
Nd  0.3753  0.6247  0.2500  8 Ac 3.78-3.80, 4 Dy 3.81
Nd  0.6247  0.3753  0.7500  8 Ac 3.78-3.80, 4 Dy 3.81
Dy  0.0411  0.2910  0.5820  8 Ac 3.77-3.81, 2 Dy 3.79, 2 Nd 3.81
Dy  0.2910  0.0411  0.0820  8 Ac 3.77-3.81, 2 Dy 3.79, 2 Nd 3.81
Dy  0.7090  0.9589  0.9180  8 Ac 3.77-3.81, 2 Dy 3.79, 2 Nd 3.81
Dy  0.9589  0.7090  0.4180  8 Ac 3.77-3.81, 2 Dy 3.79, 2 Nd 3.81

***

No. 5
Entry from the Alexandria database: an optimized crystal structure of Te2PbCN (GGA-PBE).

Values from the calculation:
Uncorrected formation energy   21.1 kcal/mol of atoms
Symmetry   P4/mmm
E above lowest polymorph   0.0000 eV/atom

Lattice parameters (Å, degrees): 6.6544 6.6544 2.7223 90.00 90.00 90.00
Last column: nearest neighbours and their distance in Å.
Sites, in units of the cell vectors:
Te  0.0000  0.5000  0.0000  2 Te 2.72
Te  0.5000  0.0000  0.0000  2 Te 2.72
Pb  0.0000  0.0000  0.5000  2 Pb 2.72
C  0.5000  0.5000  0.0000  2 N 1.36
N  0.5000  0.5000  0.5000  2 C 1.36

***

No. 6
Entry from the Alexandria database: an optimized crystal structure of K4Pa3RhS8 (GGA-PBE).

Values from the calculation:
Uncorrected formation energy   -30.0 kcal/mol of atoms
Symmetry   C2/m

Lattice parameters (Å, degrees): 8.1339 8.1339 8.8146 117.41 117.41 55.53
Last column: nearest neighbours and their distance in Å.
Sites, in units of the cell vectors:
K  0.0000  0.0000  0.0000  2 S 2.93
K  0.0000  0.5000  0.0000  6 S 3.08-3.43
K  0.5000  0.0000  0.0000  6 S 3.08-3.43
K  0.5000  0.5000  0.0000  6 S 3.17-3.41
Pa  0.0000  0.0000  0.5000  6 S 2.72-2.78
Pa  0.0000  0.5000  0.5000  6 S 2.70-2.81
Pa  0.5000  0.0000  0.5000  6 S 2.70-2.81
Rh  0.5000  0.5000  0.5000  4 S 2.49
S  0.2259  0.2259  0.7056  3 Pa 2.77-2.78, 2 K 3.08
S  0.2326  0.2326  0.2676  2 Pa 2.70, 1 K 2.93
S  0.2493  0.7068  0.6819  1 Rh 2.49, 1 Pa 2.72
S  0.2932  0.7507  0.3181  1 Rh 2.49, 1 Pa 2.72
S  0.7068  0.2493  0.6819  1 Rh 2.49, 1 Pa 2.72
S  0.7507  0.2932  0.3181  1 Rh 2.49, 1 Pa 2.72
S  0.7674  0.7674  0.7324  2 Pa 2.70, 1 K 2.93
S  0.7741  0.7741  0.2944  3 Pa 2.77-2.78, 2 K 3.08

***

No. 7
Entry from the Alexandria database: an optimized crystal structure of NdThP2 (GGA-PBE).

Values from the calculation:
Symmetry   R-3m
E above lowest polymorph   0.0000 eV/atom
Energy relative to the elements   -1.57 eV per atom

Lattice parameters (Å, degrees): 7.1903 7.1903 7.1903 33.60 33.60 33.60
Last column: nearest neighbours and their distance in Å.
Sites, in units of the cell vectors:
Nd  0.0000  0.0000  0.0000  6 P 2.96
Th  0.5000  0.5000  0.5000  6 P 2.92
P  0.2484  0.2484  0.2484  3 Th 2.92, 3 Nd 2.96
P  0.7516  0.7516  0.7516  3 Th 2.92, 3 Nd 2.96

***

No. 8
Entry from the Alexandria database: an optimized crystal structure of ScTeI3 (GGA-PBE).

Values from the calculation:
Uncorrected formation energy   -9.5 kcal/mol of atoms
Symmetry   Pm-3m
E above lowest polymorph   0.0000 eV/atom

Lattice parameters (Å, degrees): 5.7637 5.7637 5.7637 90.00 90.00 90.00
Last column: nearest neighbours and their distance in Å.
Sites, in units of the cell vectors:
Sc  0.0000  0.0000  0.0000  6 I 2.88
Te  0.5000  0.5000  0.5000  12 I 4.08
I  0.0000  0.0000  0.5000  2 Sc 2.88
I  0.0000  0.5000  0.0000  2 Sc 2.88
I  0.5000  0.0000  0.0000  2 Sc 2.88

***

No. 9
Entry from the Alexandria database: an optimized crystal structure of Nb2FeS (GGA-PBE).

Values from the calculation:
Uncorrected formation energy   8.4 kcal/mol of atoms
Symmetry   I-42d

Lattice parameters (Å, degrees): 6.7901 6.7901 6.7901 132.80 132.80 68.97
Last column: nearest neighbours and their distance in Å.
Sites, in units of the cell vectors:
Nb  0.1082  0.6250  0.9832  2 Fe 2.33, 2 S 2.43
Nb  0.3750  0.3582  0.4832  2 Fe 2.33, 2 S 2.43
Nb  0.6418  0.1250  0.0168  2 Fe 2.33, 2 S 2.43
Nb  0.8750  0.8918  0.5168  2 Fe 2.33, 2 S 2.43
Fe  0.0000  0.0000  0.0000  4 Nb 2.33
Fe  0.7500  0.2500  0.5000  4 Nb 2.33
S  0.2500  0.7500  0.5000  4 Nb 2.43
S  0.5000  0.5000  0.0000  4 Nb 2.43

***

No. 10
Entry from the Alexandria database: an optimized crystal structure of La4CrSi (GGA-PBE).

Values from the calculation:
Uncorrected formation energy   14.9 kcal/mol of atoms
Symmetry   F-43m

Lattice parameters (Å, degrees): 6.3655 6.3655 6.3655 60.00 60.00 60.00
Last column: nearest neighbours and their distance in Å.
Sites, in units of the cell vectors:
La  0.1233  0.1233  0.1233  6 La 3.14-3.23
La  0.1233  0.1233  0.6302  6 La 3.14-3.23
La  0.1233  0.6302  0.1233  6 La 3.14-3.23
La  0.6302  0.1233  0.1233  6 La 3.14-3.23
Cr  0.5000  0.5000  0.5000  12 La 3.74, 4 Si 3.90
Si  0.7500  0.7500  0.7500  12 La 3.73, 4 Cr 3.90

***

No. 11
Entry from the Alexandria database: an optimized crystal structure of BaCaInAu2 (GGA-PBE).

Values from the calculation:
Symmetry   I-4m2
Energy relative to the elements   -0.65 eV per atom

Lattice parameters (Å, degrees): 7.4233 7.4233 7.4233 143.41 143.41 52.70
Last column: nearest neighbours and their distance in Å.
Sites, in units of the cell vectors:
Ba  0.0000  0.0000  0.0000  8 Au 3.59
Ca  0.7500  0.2500  0.5000  4 Au 3.01, 4 In 3.30
In  0.2500  0.7500  0.5000  4 Au 3.01, 4 Ca 3.30
Au  0.3929  0.3929  0.0000  1 Au 2.85, 2 Ca 3.01, 2 In 3.01
Au  0.6071  0.6071  0.0000  1 Au 2.85, 2 Ca 3.01, 2 In 3.01

***

No. 12
Entry from the Alexandria database: an optimized crystal structure of CsGa2Au4 (GGA-PBE).

Values from the calculation:
Symmetry   Pnma
E above lowest polymorph   0.0000 eV/atom
Energy relative to the elements   -0.21 eV per atom

Lattice parameters (Å, degrees): 20.3827 4.2929 8.1191 90.00 90.00 90.00
Last column: nearest neighbours and their distance in Å.
Sites, in units of the cell vectors:
Cs  0.1125  0.2500  0.0172  5 Au 3.54-3.88, 3 Ga 3.77-3.84
Cs  0.3875  0.7500  0.5172  5 Au 3.54-3.88, 3 Ga 3.77-3.84
Cs  0.6125  0.2500  0.4828  5 Au 3.54-3.88, 3 Ga 3.77-3.84
Cs  0.8875  0.7500  0.9828  5 Au 3.54-3.88, 3 Ga 3.77-3.84
Ga  0.0531  0.7500  0.6654  6 Au 2.62-2.86
Ga  0.2218  0.2500  0.4021  6 Au 2.60-2.79
Ga  0.2782  0.7500  0.9021  6 Au 2.60-2.79
Ga  0.4469  0.2500  0.1654  6 Au 2.62-2.86
Ga  0.5531  0.7500  0.8346  6 Au 2.62-2.86
Ga  0.7218  0.2500  0.0979  6 Au 2.60-2.79
Ga  0.7782  0.7500  0.5979  6 Au 2.60-2.79
Ga  0.9469  0.2500  0.3346  6 Au 2.62-2.86
Au  0.0209  0.7500  0.3243  3 Ga 2.62-2.85, 2 Au 2.86
Au  0.0962  0.2500  0.4601  3 Ga 2.60-2.86, 4 Au 2.86-2.91
Au  0.1808  0.7500  0.5778  3 Ga 2.70-2.71, 4 Au 2.85-2.91
Au  0.2466  0.2500  0.7396  3 Ga 2.60-2.79, 2 Au 2.85
Au  0.2534  0.7500  0.2396  3 Ga 2.60-2.79, 2 Au 2.85
Au  0.3192  0.2500  0.0778  3 Ga 2.70-2.71, 4 Au 2.85-2.91
Au  0.4038  0.7500  0.9601  3 Ga 2.60-2.86, 4 Au 2.86-2.91
Au  0.4791  0.2500  0.8243  3 Ga 2.62-2.85, 2 Au 2.86
Au  0.5209  0.7500  0.1757  3 Ga 2.62-2.85, 2 Au 2.86
Au  0.5962  0.2500  0.0399  3 Ga 2.60-2.86, 4 Au 2.86-2.91
Au  0.6808  0.7500  0.9222  3 Ga 2.70-2.71, 4 Au 2.85-2.91
Au  0.7466  0.2500  0.7604  3 Ga 2.60-2.79, 2 Au 2.85
Au  0.7534  0.7500  0.2604  3 Ga 2.60-2.79, 2 Au 2.85
Au  0.8192  0.2500  0.4222  3 Ga 2.70-2.71, 4 Au 2.85-2.91
Au  0.9038  0.7500  0.5399  3 Ga 2.60-2.86, 4 Au 2.86-2.91
Au  0.9791  0.2500  0.6757  3 Ga 2.62-2.85, 2 Au 2.86

***

No. 13
Entry from the Alexandria database: an optimized crystal structure of LaAuCl (GGA-PBE).

Values from the calculation:
Uncorrected formation energy   -26.6 kcal/mol of atoms
Symmetry   P-6m2
E above lowest polymorph   0.2506 eV/atom

Lattice parameters (Å, degrees): 4.8551 4.8551 3.9225 90.00 90.00 120.00
Last column: nearest neighbours and their distance in Å.
Sites, in units of the cell vectors:
La  0.0000  0.0000  0.0000  3 Cl 2.80
Au  0.6667  0.3333  0.5000  6 La 3.42, 6 Cl 3.42
Cl  0.3333  0.6667  0.0000  3 La 2.80

***

Values of ρ, in order: 6.2 7.7 5.8 8.2 6.7 4.9 7.2 4.8 5.5 5.8 7.9 9.9 7.7, all in g/cm³.